(1)
Entry from the Open Quantum Materials Database: crystalline SmReNi at its relaxed geometry (PBE-GGA).

Cell lengths 4.405, 4.405, 4.405 Å; angles 60.00, 60.00, 60.00 degrees
Site moments in Bohr magnetons follow the coordinates.
Atoms (fractional coordinates):
Sm 0.750 0.750 0.750  -0.01
Re 0.250 0.250 0.250  1.23
Ni 0.000 0.000 0.000  0.54

Computed properties:
ΔE to the lowest computed polymorph = 0.000 eV per atom
Electronic total energy = -6.894 eV/atom
E_form = 0.67 eV per atom
Magnetization = 1.9 μB/f.u.


(2)
Entry from the Open Quantum Materials Database: crystalline ErAgNO at its relaxed geometry (PBE-GGA).

Cell lengths 3.834, 3.834, 7.596 Å; angles 90.00, 90.00, 90.00 degrees
Site moments in Bohr magnetons follow the coordinates.
Atoms (fractional coordinates):
N 0.500 0.000 0.317  0.58
N 0.000 0.500 0.683  0.58
Er 0.000 0.500 0.143  -0.01
Er 0.500 0.000 0.857  -0.01
O 0.500 0.500 0.000  0.04
O 0.000 0.000 0.000  0.04
Ag 0.000 0.000 0.500  0.18
Ag 0.500 0.500 0.500  0.18

Computed properties:
ΔE to the lowest computed polymorph = 0.115 eV per atom
Electronic total energy = -6.161 eV/atom
Magnetization = 1.0 μB/f.u.